VASP calculation (GGA-PBE) on a geometry-optimized VRe2Te structure.

Results
Uncorrected energy (eV/atom): -8.494
Volume (A^3/atom): 18.3
Raw formation energy (eV per atom): 0.796
Spin magnetization (μB/f.u.): 1.47

a b c (Å): 3.876 3.876 19.517
angles (deg): 90.00 90.00 90.00
Atoms (fractional coordinates):
V (0.000, 0.000, 0.000)
V (0.000, 0.500, 0.250)
V (0.500, 0.000, 0.750)
V (0.500, 0.500, 0.500)
Re (0.194, 0.250, 0.125)
Re (0.250, 0.694, 0.375)
Re (0.250, 0.806, 0.875)
Re (0.306, 0.250, 0.625)
Re (0.694, 0.750, 0.625)
Re (0.750, 0.194, 0.875)
Re (0.750, 0.306, 0.375)
Re (0.806, 0.750, 0.125)
Te (0.000, 0.000, 0.500)
Te (0.000, 0.500, 0.750)
Te (0.500, 0.000, 0.250)
Te (0.500, 0.500, 0.000)